Model 1:
The following is a DFT calculation (PBE-GGA) of a relaxed LaNb3O9 crystal.

Its magnetization is 0.000 μB/f.u.

Cell lengths 5.514, 7.680, 8.363 Å; angles 90.00, 91.90, 90.00 degrees
Space group P2_1/m (No. 11)
Asymmetric unit:
La: 0.034 0.250 0.436 x2
Nb: 0.000 0.000 0.000 x2
Nb: 0.478 0.008 0.700 x4
O: 0.081 0.250 0.985 x2
O: 0.156 0.554 0.788 x4
O: 0.266 0.537 0.466 x4
O: 0.317 0.547 0.122 x4
O: 0.356 0.250 0.662 x2
O: 0.444 0.250 0.312 x2

---

Model 2:
The following is a DFT calculation (PBE-GGA) of a relaxed LaNb3O9 crystal.

Its magnetization is 0.000 μB/f.u.

Cell lengths 5.689, 8.937, 8.942 Å; angles 101.41, 108.51, 108.54 degrees
Space group P1 (No. 1)
Asymmetric unit:
La: 0.000 0.000 0.000 x1
La: 0.338 0.998 0.679 x1
Nb: 0.001 0.749 0.256 x1
Nb: 0.329 0.740 0.928 x1
Nb: 0.333 0.250 0.422 x1
Nb: 0.650 0.735 0.576 x1
Nb: 0.677 0.264 0.102 x1
Nb: 0.997 0.258 0.749 x1
O: 0.133 0.499 0.838 x1
O: 0.135 0.764 0.086 x1
O: 0.138 0.999 0.337 x1
O: 0.139 0.229 0.588 x1
O: 0.278 0.226 0.916 x1
O: 0.313 0.767 0.437 x1
O: 0.439 0.998 0.987 x1
O: 0.446 0.232 0.240 x1
O: 0.467 0.496 0.503 x1
O: 0.473 0.771 0.761 x1
O: 0.621 0.232 0.590 x1
O: 0.659 0.767 0.088 x1
O: 0.774 0.226 0.913 x1
O: 0.791 0.000 0.691 x1
O: 0.806 0.503 0.175 x1
O: 0.835 0.769 0.437 x1
O: 0.966 0.230 0.241 x1
O: 0.973 0.772 0.765 x1

---

model 1 has the most favorable energy; the next structure is 1.6 kJ/mol of atoms above.

---

Model 1:
The following is a DFT calculation (PBE-GGA) of a relaxed LaNbO2 crystal.

Its magnetization is 0.000 μB/f.u.

Cell lengths 3.8116, 3.8116, 17.7699 Å; angles 90.00, 90.00, 120.00 degrees
Space group R-3m (No. 166, hexagonal axes)
Asymmetric unit:
La: 0.0000 0.0000 0.0000 x3
Nb: 0.0000 0.0000 0.5000 x3
O: 0.0000 0.0000 0.3898 x6

---

Model 2:
The following is a DFT calculation (PBE-GGA) of a relaxed LaNbO2 crystal.

Its magnetization is 0.522 μB/f.u.

Cell lengths 3.5372, 3.5372, 18.3794 Å; angles 90.00, 90.00, 120.00 degrees
Space group R-3m (No. 166, hexagonal axes)
Asymmetric unit:
La: 0.0000 0.0000 0.0000 x3
Nb: 0.0000 0.0000 0.5000 x3
O: 0.0000 0.0000 0.1274 x6

---

Model 3:
The following is a DFT calculation (PBE-GGA) of a relaxed LaNbO2 crystal.

Its magnetization is 0.000 μB/f.u.

Cell lengths 6.017, 6.017, 6.017 Å; angles 90.00, 90.00, 90.00 degrees
Space group Fm-3m (No. 225)
Asymmetric unit:
La: 0.000 0.000 0.000 x4
Nb: 0.000 0.000 0.500 x4
O: 0.250 0.250 0.250 x8

---

Model 4:
The following is a DFT calculation (PBE-GGA) of a relaxed LaNbO2 crystal.

Its magnetization is 0.527 μB/f.u.

Cell lengths 6.417, 6.417, 12.135 Å; angles 90.00, 90.00, 90.00 degrees
Space group I4_1/amd (No. 141, origin choice 2)
Asymmetric unit:
La: 0.000 0.000 0.000 x8
Nb: 0.000 0.000 0.500 x8
O: 0.000 0.037 0.203 x16

---

model 1 has the most favorable energy; the next structure is 15.3 kJ/mol of atoms above.

---

Model 1:
The following is a DFT calculation (PBE-GGA) of a relaxed La3NbO7 crystal.

Its magnetization is 0.000 μB/f.u.

Cell lengths 11.210, 7.628, 7.857 Å; angles 90.00, 90.00, 90.00 degrees
Space group Cmcm (No. 63)
Asymmetric unit:
La: 0.000 0.000 0.000 x4
La: 0.227 0.295 0.250 x8
Nb: 0.000 0.500 0.000 x4
O: 0.000 0.437 0.250 x4
O: 0.125 0.312 0.532 x16
O: 0.130 0.023 0.250 x8

---

Model 2:
The following is a DFT calculation (PBE-GGA) of a relaxed La3NbO7 crystal.

Its magnetization is 0.000 μB/f.u.

Cell lengths 7.828, 11.182, 7.784 Å; angles 90.00, 90.00, 90.00 degrees
Space group Pnma (No. 62)
Asymmetric unit:
La: 0.009 0.250 0.215 x4
La: 0.249 0.523 0.044 x8
Nb: 0.007 0.250 0.748 x4
O: 0.032 0.128 0.951 x8
O: 0.039 0.616 0.408 x8
O: 0.245 0.618 0.772 x8
O: 0.247 0.250 0.680 x4

---

model 2 has the most favorable energy; the next structure is 0.6 kJ/mol of atoms above.

---

Model 1:
The following is a DFT calculation (PBE-GGA) of a relaxed LaNb3O crystal.

Its magnetization is 0.000 μB/f.u.

Cell lengths 4.502, 4.502, 4.502 Å; angles 90.00, 90.00, 90.00 degrees
Space group Pm-3m (No. 221)
Asymmetric unit:
La: 0.000 0.000 0.000 x1
Nb: 0.000 0.500 0.500 x3
O: 0.500 0.500 0.500 x1

---

Model 2:
The following is a DFT calculation (PBE-GGA) of a relaxed LaNb3O crystal.

Its magnetization is 0.911 μB/f.u.

Cell lengths 4.881, 4.881, 4.881 Å; angles 90.00, 90.00, 90.00 degrees
Space group Pm-3m (No. 221)
Asymmetric unit:
La: 0.000 0.000 0.000 x1
Nb: 0.000 0.000 0.500 x3
O: 0.500 0.500 0.500 x1

---

model 1 has the most favorable energy; the next structure is 253.6 kJ/mol of atoms above.

---

Model 1:
The following is a DFT calculation (PBE-GGA) of a relaxed LaNbP2O crystal.

Its magnetization is 0.000 μB/f.u.

Cell lengths 4.967, 4.967, 3.973 Å; angles 90.00, 90.00, 90.00 degrees
Space group P4/mmm (No. 123)
Asymmetric unit:
La: 0.000 0.000 0.000 x1
Nb: 0.500 0.500 0.500 x1
P: 0.000 0.500 0.500 x2
O: 0.500 0.500 0.000 x1

---

Model 2:
The following is a DFT calculation (PBE-GGA) of a relaxed LaNbP2O crystal.

Its magnetization is 0.000 μB/f.u.

Cell lengths 5.401, 5.401, 4.027 Å; angles 90.00, 90.00, 90.00 degrees
Space group P4/mmm (No. 123)
Asymmetric unit:
La: 0.000 0.000 0.000 x1
Nb: 0.500 0.500 0.500 x1
P: 0.000 0.500 0.000 x2
O: 0.000 0.000 0.500 x1

---

model 1 has the most favorable energy; the next structure is 168.5 kJ/mol of atoms above.

---

Model 1:
The following is a DFT calculation (PBE-GGA) of a relaxed LaNb3P crystal.

Its magnetization is 0.000 μB/f.u.

Cell lengths 4.902, 4.902, 4.902 Å; angles 90.00, 90.00, 90.00 degrees
Space group Pm-3m (No. 221)
Asymmetric unit:
La: 0.000 0.000 0.000 x1
Nb: 0.000 0.000 0.500 x3
P: 0.500 0.500 0.500 x1

---

Model 2:
The following is a DFT calculation (PBE-GGA) of a relaxed LaNb3P crystal.

Its magnetization is 0.000 μB/f.u.

Cell lengths 4.800, 4.800, 4.800 Å; angles 90.00, 90.00, 90.00 degrees
Space group Pm-3m (No. 221)
Asymmetric unit:
La: 0.000 0.000 0.000 x1
Nb: 0.000 0.500 0.500 x3
P: 0.500 0.500 0.500 x1

---

model 2 has the most favorable energy; the next structure is 185.4 kJ/mol of atoms above.

---

Model 1:
The following is a DFT calculation (PBE-GGA) of a relaxed LaNbP3 crystal.

Its magnetization is 0.000 μB/f.u.

Cell lengths 5.127, 5.127, 5.127 Å; angles 90.00, 90.00, 90.00 degrees
Space group Pm-3m (No. 221)
Asymmetric unit:
La: 0.000 0.000 0.000 x1
Nb: 0.500 0.500 0.500 x1
P: 0.000 0.000 0.500 x3

---

Model 2:
The following is a DFT calculation (PBE-GGA) of a relaxed LaNbP3 crystal.

Its magnetization is 0.000 μB/f.u.

Cell lengths 4.821, 4.821, 4.821 Å; angles 90.00, 90.00, 90.00 degrees
Space group Pm-3m (No. 221)
Asymmetric unit:
La: 0.000 0.000 0.000 x1
Nb: 0.500 0.500 0.500 x1
P: 0.000 0.500 0.500 x3

---

model 2 has the most favorable energy; the next structure is 194.3 kJ/mol of atoms above.

---

Model 1:
The following is a DFT calculation (PBE-GGA) of a relaxed LaNbP2S crystal.

Its magnetization is 0.000 μB/f.u.

Cell lengths 4.816, 4.816, 4.847 Å; angles 90.00, 90.00, 90.00 degrees
Space group P4/mmm (No. 123)
Asymmetric unit:
La: 0.000 0.000 0.000 x1
Nb: 0.500 0.500 0.500 x1
P: 0.000 0.500 0.500 x2
S: 0.500 0.500 0.000 x1

---

Model 2:
The following is a DFT calculation (PBE-GGA) of a relaxed LaNbP2S crystal.

Its magnetization is 1.245 μB/f.u.

Cell lengths 5.301, 5.301, 5.324 Å; angles 90.00, 90.00, 90.00 degrees
Space group P4/mmm (No. 123)
Asymmetric unit:
La: 0.000 0.000 0.000 x1
Nb: 0.500 0.500 0.500 x1
P: 0.000 0.500 0.000 x2
S: 0.000 0.000 0.500 x1

---

model 1 has the most favorable energy; the next structure is 172.0 kJ/mol of atoms above.

---

Model 1:
The following is a DFT calculation (PBE-GGA) of a relaxed LaNbPbS crystal.

Its magnetization is 0.000 μB/f.u.

Cell lengths 6.730, 3.880, 7.746 Å; angles 90.00, 106.74, 90.00 degrees
Space group Cm (No. 8)
Asymmetric unit:
La: 0.000 0.000 0.000 x2
Nb: 0.458 0.000 0.376 x2
Pb: 0.217 0.000 0.653 x2
S: 0.244 0.500 0.233 x2

---

Model 2:
The following is a DFT calculation (PBE-GGA) of a relaxed LaNbPbS crystal.

Its magnetization is 0.000 μB/f.u.

Cell lengths 3.4791, 3.4791, 8.9071 Å; angles 90.00, 90.00, 120.00 degrees
Space group P3m1 (No. 156)
Asymmetric unit:
La: 0.0000 0.0000 0.0000 x1
Nb: 0.0000 0.0000 0.5852 x1
Pb: 0.6667 0.3333 0.3203 x1
S: 0.6667 0.3333 0.7509 x1

---

Model 3:
The following is a DFT calculation (PBE-GGA) of a relaxed LaNbPbS crystal.

Its magnetization is 0.000 μB/f.u.

Cell lengths 3.8620, 3.8620, 22.5848 Å; angles 90.00, 90.00, 120.00 degrees
Space group R3m (No. 160, hexagonal axes)
Asymmetric unit:
La: 0.0000 0.0000 0.0000 x3
Nb: 0.0000 0.0000 0.2088 x3
Pb: 0.0000 0.0000 0.7835 x3
S: 0.0000 0.0000 0.5899 x3

---

Model 4:
The following is a DFT calculation (PBE-GGA) of a relaxed LaNbPbS crystal.

Its magnetization is 0.000 μB/f.u.

Cell lengths 3.438, 3.887, 14.257 Å; angles 90.00, 90.00, 90.00 degrees
Space group Amm2 (No. 38)
Asymmetric unit:
La: 0.000 0.000 0.000 x2
Nb: 0.000 0.000 0.722 x2
Pb: 0.500 0.000 0.329 x2
S: 0.500 0.000 0.597 x2

---

model 1 has the most favorable energy; the next structure is 1.4 kJ/mol of atoms above.